CsCdTeO4, relaxed, DFT PBE; symmetry = P2_1/m; VASP energy = -64.9 eV for the cell shown
1.0
-4.604 -3.889 0.058
3.678 -4.313 2.681
0.859 5.204 7.195
Cs Cd Te O
2 2 2 8
Direct
0.471 0.750 0.861
0.529 0.250 0.139
0.798 0.750 0.471
0.202 0.250 0.529
0.200 0.750 0.313
0.800 0.250 0.687
0.997 0.482 0.664
0.003 0.982 0.336
0.003 0.518 0.336
0.997 0.018 0.664
0.436 0.750 0.213
0.564 0.250 0.787
0.456 0.750 0.530
0.544 0.250 0.470